Entry 1:
## Sc2AgIr (SCAN)

Data for Sc2AgIr at its PBEsol-relaxed geometry.

Cell lengths 3.1566, 3.1681, 7.1134 Å; angles 90.00, 90.00, 90.00 degrees
Fractional coordinates of all 4 atoms:
Sc: 0.0000 0.0000 0.2705
Sc: 0.0000 0.0000 0.7295
Ag: 0.5000 0.5000 0.0000
Ir: 0.5000 0.5000 0.5000

Properties
formation enthalpy at 0 K = -3.3 eV/f.u.
space group = Pmmm
energy above the lowest structure with this stoichiometry = 0.01 eV/f.u.

Entry 2:
## MnCl2 (SCAN)

Data for MnCl2 at its PBEsol-relaxed geometry.

Cell lengths 3.1766, 3.1766, 13.3632 Å; angles 96.83, 96.83, 90.00 degrees
Fractional coordinates of all 6 atoms:
Cl: 0.4431 0.4431 0.8862
Cl: 0.8069 0.3069 0.6138
Cl: 0.5569 0.5569 0.1138
Cl: 0.6931 0.1931 0.3862
Mn: 0.0000 0.0000 0.0000
Mn: 0.2500 0.7500 0.5000

Properties
space group = I4_1/amd
energy relative to the elements, uncorrected = -1.17 eV per atom

Entry 3:
## KC2 (SCAN)

Data for KC2 at its PBEsol-relaxed geometry.

Cell lengths 4.6031, 4.6031, 4.6031 Å; angles 60.00, 60.00, 60.00 degrees
Fractional coordinates of all 6 atoms:
C: 0.1250 0.1250 0.6250
C: 0.1250 0.6250 0.1250
C: 0.1250 0.1250 0.1250
C: 0.6250 0.1250 0.1250
K: 0.7500 0.7500 0.7500
K: 0.5000 0.5000 0.5000

Properties
formation enthalpy at 0 K = 8.9 eV/f.u.
space group = Fd-3m
energy above the lowest structure with this stoichiometry = 7.56 eV/f.u.

Entry 4:
## ZrSbAu (SCAN)

Data for ZrSbAu at its PBEsol-relaxed geometry.

Cell lengths 3.4489, 3.4489, 5.8004 Å; angles 104.38, 104.38, 99.48 degrees
Fractional coordinates of all 3 atoms:
Zr: 0.3425 0.3425 0.6850
Sb: 0.6619 0.6619 0.3239
Au: 0.9956 0.9956 0.9912

Properties
space group = Fmm2
energy relative to the elements, uncorrected = -0.47 eV per atom

Entry 5:
## ScCdPb (SCAN)

Data for ScCdPb at its PBEsol-relaxed geometry.

Cell lengths 3.4882, 4.7895, 4.7895 Å; angles 120.00, 90.00, 90.00 degrees
Fractional coordinates of all 3 atoms:
Pb: 0.7033 0.3333 0.6667
Cd: 0.9713 0.0000 0.0000
Sc: 0.3254 0.6667 0.3333

Properties
formation enthalpy at 0 K = -0.8 eV/f.u.
space group = P3m1

Entry 6:
## SmPO4 (SCAN)

Data for SmPO4 at its PBEsol-relaxed geometry.

Cell lengths 5.8250, 5.8250, 5.8250 Å; angles 105.99, 105.99, 116.69 degrees
Fractional coordinates of all 12 atoms:
O: 0.7664 0.0929 0.6735
O: 0.4194 0.0929 0.3265
O: 0.3429 0.1694 0.8265
O: 0.9071 0.2336 0.3265
O: 0.4836 0.6571 0.8265
O: 0.9071 0.5806 0.6735
O: 0.8306 0.6571 0.1735
O: 0.3429 0.5164 0.1735
P: 0.7500 0.2500 0.5000
P: 0.5000 0.5000 0.0000
Sm: 0.2500 0.7500 0.5000
Sm: 0.0000 0.0000 0.0000

Properties
space group = I4_1/amd
energy relative to the elements, uncorrected = -3.33 eV per atom

Entry 7:
## Ca2NF (SCAN)

Data for Ca2NF at its PBEsol-relaxed geometry.

Cell lengths 4.1974, 4.1974, 4.1974 Å; angles 60.00, 60.00, 60.00 degrees
Fractional coordinates of all 4 atoms:
Ca: 0.2500 0.2500 0.2500
Ca: 0.7500 0.7500 0.7500
F: 0.5000 0.5000 0.5000
N: 0.0000 0.0000 0.0000

Properties
space group = Fm-3m
energy relative to the elements, uncorrected = -1.93 eV per atom

Entry 8:
## TlZn2Fe (SCAN)

Data for TlZn2Fe at its PBEsol-relaxed geometry.

Cell lengths 2.8765, 2.8765, 8.0329 Å; angles 90.00, 90.00, 90.00 degrees
Fractional coordinates of all 4 atoms:
Tl: 0.5000 0.5000 0.5000
Zn: 0.0000 0.0000 0.8115
Zn: 0.0000 0.0000 0.1885
Fe: 0.5000 0.5000 0.0000

Properties
formation enthalpy at 0 K = 1.0 eV/f.u.
space group = P4/mmm
energy above the lowest structure with this stoichiometry = 0.00 eV/f.u.

Entry 9:
## TiOF2 (SCAN)

Data for TiOF2 at its PBEsol-relaxed geometry.

Cell lengths 3.7679, 3.7679, 7.7954 Å; angles 90.00, 90.00, 90.00 degrees
Fractional coordinates of all 8 atoms:
F: 0.0000 0.0000 0.7500
F: 0.0000 0.0000 0.2500
F: 0.0000 0.5000 0.0000
F: 0.5000 0.0000 0.5000
Ti: 0.0000 0.0000 0.0000
Ti: 0.0000 0.0000 0.5000
O: 0.5000 0.0000 0.0000
O: 0.0000 0.5000 0.5000

Properties
space group = P4_2/mmc
energy above the lowest structure with this stoichiometry = 0.12 eV/f.u.
energy relative to the elements, uncorrected = -3.37 eV per atom

Entry 10:
## AlAg7 (SCAN)

Data for AlAg7 at its PBEsol-relaxed geometry.

Cell lengths 2.8816, 2.8816, 18.3543 Å; angles 85.50, 85.50, 60.00 degrees
Fractional coordinates of all 8 atoms:
Ag: 0.5000 0.5000 0.5000
Ag: 0.7488 0.7488 0.7535
Ag: 0.1245 0.1245 0.6264
Ag: 0.3728 0.3728 0.8816
Ag: 0.6272 0.6272 0.1184
Ag: 0.8755 0.8755 0.3736
Ag: 0.2512 0.2512 0.2465
Al: 0.0000 0.0000 0.0000

Properties
formation enthalpy at 0 K = -0.2 eV/f.u.
space group = R-3m
energy above the lowest structure with this stoichiometry = 0.16 eV/f.u.

Entry 11:
## Sc4Co (SCAN)

Data for Sc4Co at its PBEsol-relaxed geometry.

Cell lengths 3.5738, 3.5738, 8.6922 Å; angles 101.86, 101.86, 90.00 degrees
Fractional coordinates of all 5 atoms:
Sc: 0.4169 0.4169 0.8339
Sc: 0.7500 0.2500 0.5000
Sc: 0.2500 0.7500 0.5000
Sc: 0.5831 0.5831 0.1661
Co: 0.0000 0.0000 0.0000

Properties
formation enthalpy at 0 K = 2.3 eV/f.u.
space group = I4/mmm

Entry 12:
## KHPd2 (SCAN)

Data for KHPd2 at its PBEsol-relaxed geometry.

Cell lengths 5.7269, 5.7269, 5.7269 Å; angles 60.00, 60.00, 60.00 degrees
Fractional coordinates of all 8 atoms:
Pd: 0.1250 0.6250 0.1250
Pd: 0.1250 0.1250 0.6250
Pd: 0.6250 0.1250 0.1250
Pd: 0.1250 0.1250 0.1250
K: 0.7500 0.7500 0.7500
K: 0.5000 0.5000 0.5000
H: 0.2500 0.2500 0.2500
H: 0.0000 0.0000 0.0000

Properties
space group = Fd-3m

Entry 13:
## Sr3TiOs (SCAN)

Data for Sr3TiOs at its PBEsol-relaxed geometry.

Cell lengths 5.6952, 5.6952, 5.6952 Å; angles 90.00, 90.00, 90.00 degrees
Fractional coordinates of all 5 atoms:
Sr: 0.0000 0.0000 0.5000
Sr: 0.0000 0.5000 0.0000
Sr: 0.5000 0.0000 0.0000
Os: 0.0000 0.0000 0.0000
Ti: 0.5000 0.5000 0.5000

Properties
formation enthalpy at 0 K = 4.4 eV/f.u.
space group = Pm-3m

Entry 14:
## Rb3PrCl6 (SCAN)

Data for Rb3PrCl6 at its PBEsol-relaxed geometry.

Cell lengths 8.1552, 8.1552, 8.1552 Å; angles 60.00, 60.00, 60.00 degrees
Fractional coordinates of all 10 atoms:
Pr: 0.0000 0.0000 0.0000
Cl: 0.7645 0.2355 0.7645
Cl: 0.2355 0.7645 0.2355
Cl: 0.7645 0.2355 0.2355
Cl: 0.7645 0.7645 0.2355
Cl: 0.2355 0.7645 0.7645
Cl: 0.2355 0.2355 0.7645
Rb: 0.7500 0.7500 0.7500
Rb: 0.2500 0.2500 0.2500
Rb: 0.5000 0.5000 0.5000

Properties
space group = Fm-3m
energy relative to the elements, uncorrected = -2.27 eV per atom

Entry 15:
## Ca2AuSe (SCAN)

Data for Ca2AuSe at its PBEsol-relaxed geometry.

Cell lengths 4.1593, 4.1593, 7.3267 Å; angles 73.51, 73.51, 60.00 degrees
Fractional coordinates of all 4 atoms:
Ca: 0.7487 0.7487 0.7540
Ca: 0.2513 0.2513 0.2460
Se: 0.0000 0.0000 0.0000
Au: 0.5000 0.5000 0.5000

Properties
space group = R-3m
energy relative to the elements, uncorrected = -1.47 eV per atom

Entry 16:
## Ti3V2Si3 (SCAN)

Data for Ti3V2Si3 at its PBEsol-relaxed geometry.

Cell lengths 4.8861, 7.2690, 7.2690 Å; angles 120.00, 90.00, 90.00 degrees
Fractional coordinates of all 16 atoms:
Ti: 0.7500 0.7552 0.0000
Ti: 0.2500 0.0000 0.2448
Ti: 0.7500 0.0000 0.7552
Ti: 0.2500 0.7552 0.7552
Ti: 0.7500 0.2448 0.2448
Ti: 0.2500 0.2448 0.0000
Si: 0.7500 0.6002 0.6002
Si: 0.2500 0.6002 0.0000
Si: 0.7500 0.0000 0.3998
Si: 0.2500 0.3998 0.3998
Si: 0.2500 0.0000 0.6002
Si: 0.7500 0.3998 0.0000
V: 0.0000 0.3333 0.6667
V: 0.5000 0.6667 0.3333
V: 0.0000 0.6667 0.3333
V: 0.5000 0.3333 0.6667

Properties
space group = P6_3/mcm
energy relative to the elements, uncorrected = -0.78 eV per atom

Entry 17:
## NaHfIN2 (SCAN)

Data for NaHfIN2 at its PBEsol-relaxed geometry.

Cell lengths 4.2385, 4.2385, 4.9643 Å; angles 90.00, 90.00, 90.00 degrees
Fractional coordinates of all 5 atoms:
N: 0.5000 0.0000 0.0000
N: 0.0000 0.5000 0.0000
I: 0.0000 0.0000 0.5000
Na: 0.0000 0.0000 0.0000
Hf: 0.5000 0.5000 0.5000

Properties
space group = P4/mmm
energy relative to the elements, uncorrected = 1.73 eV per atom

Entry 18:
## FeCo2Ag (SCAN)

Data for FeCo2Ag at its PBEsol-relaxed geometry.

Cell lengths 4.1005, 4.1005, 4.1005 Å; angles 60.00, 60.00, 60.00 degrees
Fractional coordinates of all 4 atoms:
Co: 0.2500 0.2500 0.2500
Co: 0.7500 0.7500 0.7500
Fe: 0.5000 0.5000 0.5000
Ag: 0.0000 0.0000 0.0000

Properties
formation enthalpy at 0 K = 1.0 eV/f.u.
space group = Fm-3m
energy above the lowest structure with this stoichiometry = 0.00 eV/f.u.

Entry 19:
## CoSnH12O6F6 (SCAN)

Data for CoSnH12O6F6 at its PBEsol-relaxed geometry.

Cell lengths 6.4895, 6.4895, 6.4895 Å; angles 96.28, 96.28, 96.28 degrees
Fractional coordinates of all 26 atoms:
H: 0.5499 0.9005 0.6865
H: 0.8073 0.6646 0.3081
H: 0.3135 0.4501 0.0995
H: 0.6646 0.3081 0.8073
H: 0.1927 0.3354 0.6919
H: 0.4501 0.0995 0.3135
H: 0.9005 0.6865 0.5499
H: 0.0995 0.3135 0.4501
H: 0.3081 0.8073 0.6646
H: 0.6919 0.1927 0.3354
H: 0.6865 0.5499 0.9005
H: 0.3354 0.6919 0.1927
Sn: 0.0000 0.0000 0.0000
O: 0.2044 0.3949 0.5591
O: 0.3949 0.5591 0.2044
O: 0.6051 0.4409 0.7956
O: 0.7956 0.6051 0.4409
O: 0.5591 0.2044 0.3949
O: 0.4409 0.7956 0.6051
F: 0.8387 0.7432 0.0695
F: 0.2568 0.9305 0.1613
F: 0.1613 0.2568 0.9305
F: 0.9305 0.1613 0.2568
F: 0.7432 0.0695 0.8387
F: 0.0695 0.8387 0.7432
Co: 0.5000 0.5000 0.5000

Properties
space group = R-3

Entry 20:
## KZn2Rh (SCAN)

Data for KZn2Rh at its PBEsol-relaxed geometry.

Cell lengths 4.2960, 4.3047, 6.3781 Å; angles 109.66, 90.00, 119.93 degrees
Fractional coordinates of all 4 atoms:
Zn: 0.9983 0.9965 0.9941
Zn: 0.6810 0.3619 0.0443
K: 0.5017 0.0033 0.5041
Rh: 0.3191 0.6382 0.9576

Properties
formation enthalpy at 0 K = -0.5 eV/f.u.
space group = Cm
energy above the lowest structure with this stoichiometry = 0.00 eV/f.u.

no.,spin magnetization (μB/f.u.),final energy (Ha/atom)
1,0.00,-1.233
2,5.00,-0.462
3,0.00,-0.241
4,0.00,-1.697
5,0.00,-1.485
6,0.00,-0.611
7,0.00,-0.367
8,2.58,-1.071
9,0.00,-0.393
10,0.00,-1.045
11,2.73,-0.529
12,0.00,-0.719
13,4.27,-1.105
14,0.00,-0.647
15,0.00,-1.052
16,0.00,-0.548
17,2.12,-0.835
18,6.47,-0.763
19,3.00,-0.272
20,0.00,-0.640